4
Lattice="5.1236 -0.0338 0.0011 -1.6854 4.8386 0.0011 1.7141 2.3953 4.1916" Properties=species:S:1:pos:R:3 comment="BeSb2Te | Alexandria via LeMat-Bulk | GGA-PBE | optimized geometry" dft_energy_ev_per_atom=-3.4268 relative_energy_ev_per_fu=1.049 raw_formation_energy_ev_per_fu=1.41 sg="I4/mmm (139)" pbc="T T T"
Te 3.4188 1.1808 2.0963
Sb 1.7191 2.4024 0.0011
Be 0.0144 3.6170 2.0963
Sb 0.0000 0.0000 0.0000

---

8
Lattice="-0.8557 5.7120 -6.0079 -0.6775 -6.0678 -5.6724 -5.4395 -0.2311 -5.2252" Properties=species:S:1:pos:R:3 comment="CsLiTe2 | Alexandria via LeMat-Bulk | GGA-PBE | optimized geometry" dft_energy_ev_per_atom=-3.0426 relative_energy_ev_per_fu=0.182 raw_formation_energy_ev_per_fu=-3.12 sg="I4/mcm (140)" pbc="T T T"
Te -0.4063 1.4309 -2.9634
Te -1.1269 -1.7868 -8.7170
Li -3.5309 2.6514 -8.5366
Li -3.4418 -3.2385 -8.3689
Cs -3.1031 -0.2045 -5.5327
Cs -3.8697 -0.3825 -11.3729
Te -0.5242 -3.0770 -4.2493
Te -1.0090 2.7211 -7.4311

---

14
Lattice="-3.2946 -1.0184 0.7929 3.0777 -0.5704 12.0551 -3.3419 11.9141 1.4169" Properties=species:S:1:pos:R:3 comment="Pa2CBr4 | Alexandria via LeMat-Bulk | GGA-PBE | optimized geometry" dft_energy_ev_per_atom=-5.9776 raw_formation_energy_ev_per_fu=-6.94 sg="P4_2/mnm (136)" pbc="T T T"
Pa -1.8037 6.2093 8.3755
Br -0.8769 8.8864 7.7701
Br -3.9712 10.6089 5.0208
Pa -1.7550 4.1160 5.8894
Br 0.6127 2.4574 5.7019
Pa -2.7496 10.7622 2.3985
C -0.1321 5.6719 6.7360
Br 0.4124 -0.2836 9.2441
C -1.6473 -0.5092 0.3965
Br -3.9134 8.1291 2.0756
Br -0.7907 5.1866 3.3762
Pa 2.4854 0.5815 11.0735
Br 0.5265 6.1571 10.0957
Br 0.3547 2.1962 12.1893

---

10
Lattice="-3.3921 4.1774 4.7268 -4.6789 -5.2658 1.2961 1.6222 -0.9485 2.0024" Properties=species:S:1:pos:R:3 comment="KRu2C2 | Alexandria via LeMat-Bulk | GGA-PBE | optimized geometry" dft_energy_ev_per_atom=-6.2571 relative_energy_ev_per_fu=5.008 sg="P4/mbm (127)" formation_enthalpy_0k_ev_per_atom=1.36 pbc="T T T"
C -2.5786 1.9697 3.0221
Ru -2.5111 -3.2397 2.3827
C -2.1987 -1.6002 1.0232
K 0.0000 0.0000 0.0000
C -5.4923 -3.0581 3.0009
Ru -3.9376 1.2028 5.6427
Ru -5.4071 -2.5014 5.0785
Ru -1.0416 0.4646 2.9469
C -5.8722 0.5119 4.9997
K -4.0355 -0.5442 3.0115

---

4
Lattice="4.7179 0.0023 0.0085 -2.1492 5.1687 0.0134 0.4195 0.7008 2.6166" Properties=species:S:1:pos:R:3 comment="Li2TaTc | Alexandria via LeMat-Bulk | GGA-PBE | optimized geometry" dft_energy_ev_per_atom=-6.2468 relative_energy_ev_per_fu=0.496 sg="C2/m (12)" formation_enthalpy_0k_ev_per_atom=0.26 pbc="T T T"
Ta -0.8649 2.9347 1.3150
Tc 1.2843 2.5855 0.0109
Li 0.0000 0.0000 0.0000
Li 2.5687 0.3515 1.3126

---

20
Lattice="-3.3792 -0.7410 7.1610 1.4353 -8.6032 -0.2130 10.6893 1.6681 4.6522" Properties=species:S:1:pos:R:3 comment="Ba6RhAu3 | Alexandria via LeMat-Bulk | GGA-PBE | optimized geometry" dft_energy_ev_per_atom=-3.3707 sg="P2_1/c (14)" formation_enthalpy_0k_ev_per_atom=-0.50 pbc="T T T"
Ba 6.3700 -3.0928 8.0307
Au 8.5944 -4.0439 3.6562
Au 6.7801 0.0008 6.7497
Ba 6.1886 -6.2375 4.9156
Rh -3.3792 -0.7411 7.1609
Au -0.9719 -4.6721 3.4740
Ba 2.8591 -5.6554 7.7105
Ba 2.3754 -4.5834 3.5695
Ba 9.7572 -1.2303 5.4054
Ba 2.5568 -1.4386 6.6845
Au 6.7799 -7.7692 2.1131
Ba 6.5964 -7.5127 9.3920
Au 1.9653 -7.6769 4.8505
Ba -1.0118 -6.4459 6.1947
Ba 5.8863 -2.0208 3.8897
Rh 4.3727 -3.8380 5.8000
Au 0.1510 -3.6322 7.9439
Ba 10.1186 -5.8014 6.4226
Ba 2.1489 -0.1635 2.2081
Ba -1.3732 -1.8748 5.1775

---

13
Lattice="6.4532 0.0000 2.1644 2.8636 5.7830 2.1644 0.4506 0.2797 9.3591" Properties=species:S:1:pos:R:3 comment="Be2In3Cl8 | Alexandria via LeMat-Bulk | GGA-PBE | optimized geometry" dft_energy_ev_per_atom=-3.3960 raw_formation_energy_ev_per_fu=-13.71 sg="R-3m (166)" pbc="T T T"
Be 5.7446 3.5657 4.2770
In 7.6757 4.7643 9.2219
Cl 2.7179 1.6870 8.0702
Cl 2.9531 1.8330 1.8975
Cl 3.8952 4.3757 4.5597
In 2.0918 1.2984 4.4659
Be 4.0228 2.4970 9.4108
Cl 5.8722 1.6870 9.1281
In 0.0000 0.0000 0.0000
Cl 5.6498 1.5489 4.5597
Cl 6.8143 4.2297 11.7903
Cl 4.1176 4.5138 9.1281
Cl 7.0496 4.3757 5.6176

---

4
Lattice="5.6512 0.0000 0.0000 2.8256 4.8941 0.0000 2.8256 1.6314 4.6142" Properties=species:S:1:pos:R:3 comment="PmBi3 | Alexandria via LeMat-Bulk | GGA-PBE | optimized geometry" dft_energy_ev_per_atom=-4.3123 relative_energy_ev_per_fu=0.886 sg="Fm-3m (225)" formation_enthalpy_0k_ev_per_atom=-0.21 pbc="T T T"
Pm 5.6512 3.2627 2.3071
Bi 8.4768 4.8941 3.4606
Bi 2.8256 1.6314 1.1535
Bi 0.0000 0.0000 0.0000

---

What did the second record say?
8
Lattice="-0.8557 5.7120 -6.0079 -0.6775 -6.0678 -5.6724 -5.4395 -0.2311 -5.2252" Properties=species:S:1:pos:R:3 comment="CsLiTe2 | Alexandria via LeMat-Bulk | GGA-PBE | optimized geometry" dft_energy_ev_per_atom=-3.0426 relative_energy_ev_per_fu=0.182 raw_formation_energy_ev_per_fu=-3.12 sg="I4/mcm (140)" pbc="T T T"
Te -0.4063 1.4309 -2.9634
Te -1.1269 -1.7868 -8.7170
Li -3.5309 2.6514 -8.5366
Li -3.4418 -3.2385 -8.3689
Cs -3.1031 -0.2045 -5.5327
Cs -3.8697 -0.3825 -11.3729
Te -0.5242 -3.0770 -4.2493
Te -1.0090 2.7211 -7.4311